{
  "formula": "LaDy2Ho",
  "functional": "PBE-GGA",
  "state": "optimized geometry",
  "lattice": [[-0.6590, -0.5128, 3.4919], [2.7010, 0.0618, 2.3646], [-0.8143, 11.3522, 3.3593]],
  "species": ["La", "Dy", "Dy", "Ho"],
  "frac_coords": [[0.0000, 0.0000, 0.0000], [0.7521, 0.7521, 0.7436], [0.2479, 0.2479, 0.2564], [0.5000, 0.5000, 0.5000]],
  "energy_ry_per_atom": -0.342,
  "e_form_ev_per_atom": 0.023,
  "de_polymorph_mev_per_atom": 14,
  "volume_a3_per_atom": 32.61
}